Below is a relaxed structure of Ba2HgAu2O6, with properties calculated at the GGA-PBE level.

Energy relative to the elements, uncorrected, eV/atom: -0.797
Crystal system: trigonal
E, Ry/atom: -0.3288

CIF file:
```
data_Ba2HgAu2O6
_chemical_formula_sum 'Ba2 Hg1 Au2 O6'
_cell_length_a 6.254
_cell_length_b 6.254
_cell_length_c 7.102
_cell_angle_alpha 63.88
_cell_angle_beta 63.88
_cell_angle_gamma 60.00
_symmetry_space_group_name_H-M 'P 1'
_symmetry_Int_Tables_number 1
loop_
_symmetry_equiv_pos_as_xyz
'x,y,z'
loop_
_atom_site_label
_atom_site_type_symbol
_atom_site_fract_x
_atom_site_fract_y
_atom_site_fract_z
Ba1 Ba 0.786 0.786 0.642
Ba2 Ba 0.214 0.214 0.358
Hg1 Hg 0.000 0.000 0.000
Au1 Au 0.418 0.418 0.745
Au2 Au 0.582 0.582 0.255
O1 O 0.760 0.760 0.279
O2 O 0.201 0.760 0.279
O3 O 0.760 0.201 0.279
O4 O 0.240 0.799 0.721
O5 O 0.799 0.240 0.721
O6 O 0.240 0.240 0.721
```